Entry 1:
Compound: La3ScSe6
Source: Alexandria
Functional: PBE
Structure: relaxed

The structure in POSCAR format:
```
La3ScSe6
1.0
-4.940 -5.142 0.944
5.085 -5.840 -5.197
3.278 -1.572 8.589
La Se Sc
6 12 2
direct
0.401 0.400 0.600
0.479 0.917 0.714
0.901 0.600 0.400
0.979 0.714 0.917
0.479 0.286 0.083
0.979 0.083 0.286
0.197 0.100 0.569
0.690 0.313 0.362
0.690 0.638 0.687
0.697 0.900 0.431
0.190 0.362 0.313
0.158 0.778 0.222
0.197 0.431 0.900
0.678 0.965 0.035
0.190 0.687 0.638
0.697 0.569 0.100
0.658 0.222 0.778
0.178 0.035 0.965
0.516 0.805 0.195
0.016 0.195 0.805
```

Results
SG = Cmc2_1
uncorrected energy = -6.112 eV/atom
magnetic moment = 0.0 μB per formula unit
raw formation energy = -1909.6 meV per atom
DOS(E_F) = 0.0 states/eV/cell


Entry 2:
Compound: LaScSe3
Source: Alexandria
Functional: PBE
Structure: relaxed

The structure in POSCAR format:
```
LaScSe3
1.0
4.043 0.000 0.000
0.000 8.536 0.000
0.000 0.000 14.587
La Sc Se
4 4 12
direct
0.750 0.375 0.690
0.750 0.875 0.810
0.250 0.125 0.190
0.250 0.625 0.310
0.250 0.826 0.545
0.250 0.326 0.955
0.750 0.674 0.045
0.750 0.174 0.455
0.250 0.495 0.113
0.250 0.664 0.705
0.750 0.336 0.295
0.750 0.505 0.887
0.750 0.161 0.035
0.250 0.839 0.965
0.250 0.995 0.387
0.250 0.339 0.535
0.750 0.836 0.205
0.750 0.005 0.613
0.250 0.164 0.795
0.750 0.661 0.465
```

Results
SG = Pnma
uncorrected energy = -6.206 eV/atom
magnetic moment = 0.0 μB per formula unit
offset from the most stable computed form = 0 meV/atom
raw formation energy = -1863.9 meV per atom
DOS(E_F) = 0.1 states/eV/cell


Entry 3:
Compound: LaScSe2
Source: Alexandria
Functional: PBE
Structure: relaxed

The structure in POSCAR format:
```
LaScSe2
1.0
-2.933 4.053 4.965
-6.173 -0.418 3.378
5.777 -3.429 -2.133
Se La Sc
2 1 1
direct
0.250 0.750 0.500
0.000 0.000 0.000
0.500 0.500 0.000
0.750 0.250 0.500
```

Results
SG = I-4m2
uncorrected energy = -5.843 eV/atom
magnetic moment = 0.2 μB per formula unit
offset from the most stable computed form = 494 meV/atom
raw formation energy = -1285.7 meV per atom
DOS(E_F) = 3.7 states/eV/cell


Among the records above, which one has the lowest uncorrected energy? LaScSe3


What is the raw formation energy in the third record? -1285.7 meV per atom


Among the records above, which one has the lowest raw formation energy? La3ScSe6